Compound: Ta2CrNi
Source: Alexandria
Functional: PBE-GGA
Structure: relaxed

Lattice parameters (Å, degrees): 4.3309 4.3309 3.1359 90.00 90.00 90.00
Closest atoms and distances in Å follow each position.
Atoms (fractional coordinates):
Ta (0.0000, 0.5000, 0.0000)  4 Cr 2.67, 4 Ni 2.67
Ta (0.5000, 0.0000, 0.0000)  4 Cr 2.67, 4 Ni 2.67
Cr (0.0000, 0.0000, 0.5000)  8 Ta 2.67
Ni (0.5000, 0.5000, 0.5000)  8 Ta 2.67

Summary:
Crystal system: tetragonal
M_tot, μB per formula unit: 0.0
Calculated formation energy, eV/atom: -0.081



Compound: Ta4CrNi
Source: Alexandria
Functional: PBE-GGA
Structure: relaxed

Lattice parameters (Å, degrees): 5.3602 5.3602 5.3602 60.00 60.00 60.00
Closest atoms and distances in Å follow each position.
Atoms (fractional coordinates):
Ta (0.1244, 0.1244, 0.1244)  6 Ta 2.67-2.69
Ta (0.1244, 0.1244, 0.6269)  6 Ta 2.67-2.69
Ta (0.1244, 0.6269, 0.1244)  6 Ta 2.67-2.69
Ta (0.6269, 0.1244, 0.1244)  6 Ta 2.67-2.69
Cr (0.7500, 0.7500, 0.7500)  12 Ta 3.14, 4 Ni 3.28
Ni (0.5000, 0.5000, 0.5000)  12 Ta 3.14, 4 Cr 3.28

Summary:
Crystal system: cubic
M_tot, μB per formula unit: 3.1
Calculated formation energy, eV/atom: 0.661



Compound: TaCr3Ni
Source: Alexandria
Functional: PBE-GGA
Structure: relaxed

Lattice parameters (Å, degrees): 4.4525 4.4525 4.4525 90.00 90.00 90.00
Closest atoms and distances in Å follow each position.
Atoms (fractional coordinates):
Ta (0.0000, 0.0000, 0.0000)  6 Cr 2.23
Cr (0.0000, 0.0000, 0.5000)  2 Ta 2.23
Cr (0.0000, 0.5000, 0.0000)  2 Ta 2.23
Cr (0.5000, 0.0000, 0.0000)  2 Ta 2.23
Ni (0.5000, 0.5000, 0.5000)  12 Cr 3.15

Summary:
Crystal system: cubic
M_tot, μB per formula unit: 0.2
Relative energy among the computed polymorphs, meV per atom: 853
Calculated formation energy, eV/atom: 2.073



Compound: TaCr2Ni
Source: Alexandria
Functional: PBE-GGA
Structure: relaxed

Lattice parameters (Å, degrees): 2.5797 2.5797 7.9801 90.00 90.00 90.00
Closest atoms and distances in Å follow each position.
Atoms (fractional coordinates):
Ta (0.0000, 0.0000, 0.0000)  4 Ta 2.58, 8 Cr 2.89
Cr (0.5000, 0.5000, 0.2801)  4 Ni 2.53, 4 Cr 2.58
Cr (0.5000, 0.5000, 0.7199)  4 Ni 2.53, 4 Cr 2.58
Ni (0.0000, 0.0000, 0.5000)  8 Cr 2.53, 4 Ni 2.58

Summary:
Crystal system: tetragonal
M_tot, μB per formula unit: 0.0
Relative energy among the computed polymorphs, meV per atom: 185
Calculated formation energy, eV/atom: 0.217



Compound: Ta2CrNi
Source: Alexandria
Functional: PBE-GGA
Structure: relaxed

Lattice parameters (Å, degrees): 2.7085 4.0117 5.6461 90.00 103.09 90.00
Closest atoms and distances in Å follow each position.
Atoms (fractional coordinates):
Ta (0.2150, 0.0000, 0.2556)  2 Cr 2.58, 2 Ni 2.68, 4 Ta 2.71-2.86
Ta (0.7850, 0.0000, 0.7444)  2 Cr 2.58, 2 Ni 2.68, 4 Ta 2.71-2.86
Cr (0.0000, 0.5000, 0.5000)  4 Ta 2.58, 2 Cr 2.71, 2 Ni 2.84
Ni (0.5000, 0.5000, 0.0000)  8 Ta 2.68-2.93, 2 Ni 2.71, 2 Cr 2.84

Summary:
Crystal system: monoclinic
M_tot, μB per formula unit: 0.0
Calculated formation energy, eV/atom: 0.095



Compound: TaCr2Ni
Source: Alexandria
Functional: PBE-GGA
Structure: relaxed

Lattice parameters (Å, degrees): 4.7997 4.7997 2.5741 90.00 90.00 115.12
Closest atoms and distances in Å follow each position.
Atoms (fractional coordinates):
Ta (0.0000, 0.0000, 0.0000)  2 Ta 2.57, 2 Ni 2.57, 8 Cr 2.72
Cr (0.0000, 0.5000, 0.5000)  4 Cr 2.57, 4 Ta 2.72, 4 Ni 2.72
Cr (0.5000, 0.0000, 0.5000)  4 Cr 2.57, 4 Ta 2.72, 4 Ni 2.72
Ni (0.5000, 0.5000, 0.0000)  2 Ni 2.57, 2 Ta 2.57, 8 Cr 2.72

Summary:
Crystal system: orthorhombic
M_tot, μB per formula unit: 0.0
Relative energy among the computed polymorphs, meV per atom: 290
Calculated formation energy, eV/atom: 0.322



Compound: TaCr2Ni
Source: Alexandria
Functional: PBE-GGA
Structure: relaxed

Lattice parameters (Å, degrees): 5.0010 5.0010 2.5936 100.30 100.30 119.30
Closest atoms and distances in Å follow each position.
Atoms (fractional coordinates):
Ta (0.0000, 0.0000, 0.0000)  2 Ni 2.53, 2 Ta 2.59, 4 Cr 2.60
Cr (0.0000, 0.5000, 0.5000)  4 Cr 2.53-2.59, 2 Ni 2.60, 2 Ta 2.60
Cr (0.5000, 0.0000, 0.5000)  4 Cr 2.53-2.59, 2 Ni 2.60, 2 Ta 2.60
Ni (0.5000, 0.5000, 0.0000)  2 Ta 2.53, 2 Ni 2.59, 4 Cr 2.60

Summary:
Crystal system: monoclinic
M_tot, μB per formula unit: 0.0
Relative energy among the computed polymorphs, meV per atom: 145
Calculated formation energy, eV/atom: 0.176



Compound: Ta2CrNi2
Source: Alexandria
Functional: PBE-GGA
Structure: relaxed

Lattice parameters (Å, degrees): 6.8053 6.8053 3.1474 90.00 90.00 90.00
Closest atoms and distances in Å follow each position.
Atoms (fractional coordinates):
Ta (0.1766, 0.3234, 0.0000)  6 Ni 2.48-2.61
Ta (0.3234, 0.8234, 0.0000)  6 Ni 2.48-2.61
Ta (0.6766, 0.1766, 0.0000)  6 Ni 2.48-2.61
Ta (0.8234, 0.6766, 0.0000)  6 Ni 2.48-2.61
Cr (0.0000, 0.0000, 0.5000)  4 Ni 2.69, 8 Ta 2.96
Cr (0.5000, 0.5000, 0.5000)  4 Ni 2.69, 8 Ta 2.96
Ni (0.1243, 0.6243, 0.5000)  1 Ni 2.39, 6 Ta 2.48-2.61
Ni (0.3757, 0.1243, 0.5000)  1 Ni 2.39, 6 Ta 2.48-2.61
Ni (0.6243, 0.8757, 0.5000)  1 Ni 2.39, 6 Ta 2.48-2.61
Ni (0.8757, 0.3757, 0.5000)  1 Ni 2.39, 6 Ta 2.48-2.61

Summary:
Crystal system: tetragonal
M_tot, μB per formula unit: 2.7
Calculated formation energy, eV/atom: -0.042



Compound: TaCr2Ni
Source: Alexandria
Functional: PBE-GGA
Structure: relaxed

Lattice parameters (Å, degrees): 4.7540 4.7540 4.7540 134.96 134.96 65.58
Closest atoms and distances in Å follow each position.
Atoms (fractional coordinates):
Ta (0.0000, 0.0000, 0.0000)  4 Ni 2.57, 8 Cr 2.70
Cr (0.2500, 0.7500, 0.5000)  4 Cr 2.57, 4 Ni 2.70, 4 Ta 2.70
Cr (0.7500, 0.2500, 0.5000)  4 Cr 2.57, 4 Ni 2.70, 4 Ta 2.70
Ni (0.5000, 0.5000, 0.0000)  4 Ta 2.57, 8 Cr 2.70

Summary:
Crystal system: tetragonal
M_tot, μB per formula unit: 0.0
Relative energy among the computed polymorphs, meV per atom: 152
Calculated formation energy, eV/atom: 0.184



Compound: Ta2CrNi
Source: Alexandria
Functional: PBE-GGA
Structure: relaxed

Lattice parameters (Å, degrees): 2.7143 2.7143 8.1020 90.00 90.00 90.00
Closest atoms and distances in Å follow each position.
Atoms (fractional coordinates):
Ta (0.0000, 0.0000, 0.0000)  4 Ta 2.71, 4 Ni 2.77
Ta (0.5000, 0.5000, 0.2955)  4 Ta 2.71, 4 Cr 2.89
Cr (0.0000, 0.0000, 0.5620)  4 Ni 2.47, 4 Cr 2.71
Ni (0.5000, 0.5000, 0.7539)  4 Cr 2.47, 4 Ni 2.71

Summary:
Crystal system: tetragonal
M_tot, μB per formula unit: 0.0
Calculated formation energy, eV/atom: 0.127



Compound: TaCr2Ni
Source: Alexandria
Functional: PBE-GGA
Structure: relaxed

Lattice parameters (Å, degrees): 2.6105 3.9706 5.2619 90.00 104.01 90.00
Closest atoms and distances in Å follow each position.
Atoms (fractional coordinates):
Ta (0.0000, 0.0000, 0.0000)  4 Cr 2.60-2.71, 2 Ta 2.61, 4 Ni 2.67-2.77
Cr (0.5497, 0.0000, 0.4823)  2 Cr 2.32, 2 Ni 2.55
Cr (0.7232, 0.5000, 0.2921)  2 Cr 2.32, 1 Ni 2.51
Ni (0.3321, 0.5000, 0.7422)  4 Cr 2.51-2.80, 2 Ni 2.61, 4 Ta 2.67-2.77

Summary:
Crystal system: monoclinic
M_tot, μB per formula unit: 0.0
Relative energy among the computed polymorphs, meV per atom: 79
Calculated formation energy, eV/atom: 0.111



Compound: TaCr2Ni
Source: Alexandria
Functional: PBE-GGA
Structure: relaxed

Lattice parameters (Å, degrees): 2.5937 4.3448 4.7557 90.00 98.44 90.00
Closest atoms and distances in Å follow each position.
Atoms (fractional coordinates):
Ta (0.0000, 0.0000, 0.0000)  2 Ni 2.54, 2 Ta 2.59, 4 Cr 2.61
Cr (0.2582, 0.5000, 0.7510)  4 Cr 2.51-2.59, 2 Ni 2.60, 2 Ta 2.61
Cr (0.7418, 0.5000, 0.2490)  4 Cr 2.51-2.59, 2 Ni 2.60, 2 Ta 2.61
Ni (0.5000, 0.0000, 0.5000)  2 Ta 2.54, 2 Ni 2.59, 4 Cr 2.60

Summary:
Crystal system: monoclinic
M_tot, μB per formula unit: 0.0
Relative energy among the computed polymorphs, meV per atom: 169
Calculated formation energy, eV/atom: 0.201